Entry 1:
TlRe3C | PBE | relaxed

Cell lengths 4.1873, 4.1873, 4.1873 Å; angles 90.00, 90.00, 90.00 degrees
Space group Pm-3m (No. 221)
Inequivalent atoms, fractional coordinates:
Tl 0.0000 0.0000 0.0000 [1 per cell]
Re 0.0000 0.5000 0.5000 [3 per cell]
C 0.5000 0.5000 0.5000 [1 per cell]

- ΔE_f (meV per atom) = 763
- offset from the most stable computed form (eV/f.u.) = 0.000
- total magnetic moment (Bohr magnetons per cell) = 0.00

***

Entry 2:
Tl2ReC | PBE | relaxed

Cell lengths 6.6744, 6.6744, 6.6744 Å; angles 90.00, 90.00, 90.00 degrees
Space group Fm-3m (No. 225)
Inequivalent atoms, fractional coordinates:
Tl 0.2500 0.2500 0.2500 [8 per cell]
Re 0.0000 0.0000 0.0000 [4 per cell]
C 0.0000 0.0000 0.5000 [4 per cell]

- ΔE_f (meV per atom) = 2249
- offset from the most stable computed form (eV/f.u.) = 0.701
- total magnetic moment (Bohr magnetons per cell) = 0.00

***

Entry 3:
Y2TlReC | PBE | relaxed

Cell lengths 5.0400, 5.0400, 4.0205 Å; angles 90.00, 90.00, 90.00 degrees
Space group P4/mmm (No. 123)
Inequivalent atoms, fractional coordinates:
Y 0.0000 0.5000 0.0000 [2 per cell]
Tl 0.0000 0.0000 0.5000 [1 per cell]
Re 0.5000 0.5000 0.5000 [1 per cell]
C 0.5000 0.5000 0.0000 [1 per cell]

- ΔE_f (meV per atom) = -290
- total magnetic moment (Bohr magnetons per cell) = 0.00

***

Entry 4:
TmReC | PBE | relaxed

Cell lengths 3.5318, 3.5318, 4.4471 Å; angles 90.00, 90.00, 120.00 degrees
Space group P3m1 (No. 156)
Inequivalent atoms, fractional coordinates:
Tm 0.0000 0.0000 0.0000 [1 per cell]
Re 0.3333 0.6667 0.5067 [1 per cell]
C 0.6667 0.3333 0.5140 [1 per cell]

- ΔE_f (meV per atom) = 78
- offset from the most stable computed form (eV/f.u.) = 0.447
- total magnetic moment (Bohr magnetons per cell) = 0.00

***

Which value of ΔE_f does entry 1 give? 763 meV per atom